(1)
Entry from the Alexandria database: HgTeP after structural relaxation (PBE).

Computed properties:
Formation energy without anion corrections   0.53 eV per atom
SG   F-43m, No. 216
Final energy   -7.3 eV per formula unit
Density   7.56 g cm⁻³

a b c (Å): 4.8145 4.8145 4.8145
angles (deg): 60.00 60.00 60.00
Sites, in units of the cell vectors:
Hg 0.0000 0.0000 0.0000
Te 0.5000 0.5000 0.5000
P 0.2500 0.2500 0.2500

=====

(2)
Entry from the Alexandria database: HgTeP2 after structural relaxation (PBE).

Computed properties:
Formation energy without anion corrections   0.14 eV per atom
SG   R3m, No. 160
Final energy   -13.7 eV per formula unit
Density   6.64 g cm⁻³

a b c (Å): 10.5137 10.5137 10.5137
angles (deg): 18.06 18.06 18.06
Sites, in units of the cell vectors:
Hg 0.0000 0.0000 0.0000
Te 0.2268 0.2268 0.2268
P 0.4685 0.4685 0.4685
P 0.7627 0.7627 0.7627

=====

(3)
Entry from the Alexandria database: Hg2TeP after structural relaxation (PBE).

Computed properties:
Formation energy without anion corrections   0.34 eV per atom
SG   Pmmm, No. 47
Final energy   -7.8 eV per formula unit
Density   8.56 g cm⁻³

a b c (Å): 3.9526 4.0849 6.7249
angles (deg): 90.00 90.00 90.00
Sites, in units of the cell vectors:
Hg 0.0000 0.0000 0.0000
Hg 0.5000 0.5000 0.0000
Te 0.0000 0.5000 0.5000
P 0.5000 0.0000 0.5000

=====

(4)
Entry from the Alexandria database: HgTeP after structural relaxation (PBE).

Computed properties:
Formation energy without anion corrections   0.30 eV per atom
SG   I4mm, No. 107
Final energy   -7.9 eV per formula unit
Density   6.63 g cm⁻³

a b c (Å): 7.6476 7.6476 7.6476
angles (deg): 153.33 153.33 38.07
Sites, in units of the cell vectors:
Hg 0.0000 0.0000 0.0000
Te 0.7235 0.7235 0.0000
P 0.2978 0.2978 0.0000

=====

(5)
Entry from the Alexandria database: HgTeP after structural relaxation (PBE).

Computed properties:
Formation energy without anion corrections   0.24 eV per atom
SG   I4mm, No. 107
Final energy   -8.1 eV per formula unit
Density   6.57 g cm⁻³

a b c (Å): 6.7347 6.7347 6.7347
angles (deg): 146.90 146.90 47.51
Sites, in units of the cell vectors:
Hg 0.0000 0.0000 0.0000
Te 0.7148 0.7148 0.0000
P 0.5200 0.5200 0.0000

=====

(6)
Entry from the Alexandria database: Hg2TeP after structural relaxation (PBE).

Computed properties:
Formation energy without anion corrections   0.14 eV per atom
SG   I-42d, No. 122
Final energy   -8.6 eV per formula unit
Density   7.64 g cm⁻³

a b c (Å): 7.5759 7.5759 7.5759
angles (deg): 130.83 130.83 72.08
Sites, in units of the cell vectors:
Hg 0.0719 0.6250 0.9469
Hg 0.3750 0.3219 0.4469
Hg 0.6781 0.1250 0.0531
Hg 0.8750 0.9281 0.5531
Te 0.2500 0.7500 0.5000
Te 0.5000 0.5000 0.0000
P 0.0000 0.0000 0.0000
P 0.7500 0.2500 0.5000

=====

(7)
Entry from the Alexandria database: Hg3TeP after structural relaxation (PBE).

Computed properties:
Formation energy without anion corrections   0.77 eV per atom
SG   Pm-3m, No. 221
Final energy   -5.6 eV per formula unit
Density   6.44 g cm⁻³

a b c (Å): 5.8107 5.8107 5.8107
angles (deg): 90.00 90.00 90.00
Sites, in units of the cell vectors:
Hg 0.0000 0.0000 0.5000
Hg 0.0000 0.5000 0.0000
Hg 0.5000 0.0000 0.0000
Te 0.0000 0.0000 0.0000
P 0.5000 0.5000 0.5000

=====

(8)
Entry from the Alexandria database: Hg2TeP after structural relaxation (PBE).

Computed properties:
Formation energy without anion corrections   0.48 eV per atom
SG   Pmmm, No. 47
Final energy   -7.2 eV per formula unit
Density   9.61 g cm⁻³

a b c (Å): 3.1440 3.7205 8.2656
angles (deg): 90.00 90.00 90.00
Sites, in units of the cell vectors:
Hg 0.0000 0.0000 0.2038
Hg 0.0000 0.0000 0.7962
Te 0.5000 0.5000 0.5000
P 0.5000 0.5000 0.0000

=====

(9)
Entry from the Alexandria database: HgTeP2 after structural relaxation (PBE).

Computed properties:
Formation energy without anion corrections   0.26 eV per atom
SG   Imm2, No. 44
Final energy   -13.2 eV per formula unit
Density   6.41 g cm⁻³

a b c (Å): 7.7014 7.7014 7.7014
angles (deg): 156.12 146.81 41.30
Sites, in units of the cell vectors:
Hg 0.0000 0.0000 0.0000
Te 0.6348 0.1348 0.5000
P 0.2784 0.7784 0.5000
P 0.3780 0.3780 0.0000

=====

(10)
Entry from the Alexandria database: HgTeP2 after structural relaxation (PBE).

Computed properties:
Formation energy without anion corrections   0.27 eV per atom
SG   P4mm, No. 99
Final energy   -13.2 eV per formula unit
Density   6.61 g cm⁻³

a b c (Å): 3.0346 3.0346 10.6449
angles (deg): 90.00 90.00 90.00
Sites, in units of the cell vectors:
Hg 0.0000 0.0000 0.0000
Te 0.5000 0.5000 0.6818
P 0.0000 0.0000 0.3820
P 0.5000 0.5000 0.2860

=====

(11)
Entry from the Alexandria database: Hg2TeP after structural relaxation (PBE).

Computed properties:
Formation energy without anion corrections   0.51 eV per atom
SG   R-3m, No. 166
Final energy   -7.1 eV per formula unit
Density   9.42 g cm⁻³

a b c (Å): 11.8143 11.8143 11.8143
angles (deg): 15.19 15.19 15.19
Sites, in units of the cell vectors:
Hg 0.2378 0.2378 0.2378
Hg 0.7622 0.7622 0.7622
Te 0.0000 0.0000 0.0000
P 0.5000 0.5000 0.5000

=====

(12)
Entry from the Alexandria database: HgTeP2 after structural relaxation (PBE).

Computed properties:
Formation energy without anion corrections   0.62 eV per atom
SG   Cmmm, No. 65
Final energy   -11.8 eV per formula unit
Density   5.91 g cm⁻³

a b c (Å): 4.3736 4.3736 7.4230
angles (deg): 90.00 90.00 129.42
Sites, in units of the cell vectors:
Hg 0.0000 0.0000 0.0000
Te 0.0000 0.0000 0.5000
P 0.5000 0.5000 0.2497
P 0.5000 0.5000 0.7503

=====

(13)
Entry from the Alexandria database: HgTeP after structural relaxation (PBE).

Computed properties:
Formation energy without anion corrections   0.33 eV per atom
SG   P3m1, No. 156
Final energy   -7.9 eV per formula unit
Density   7.72 g cm⁻³

a b c (Å): 4.3767 4.3767 4.6597
angles (deg): 90.00 90.00 120.00
Sites, in units of the cell vectors:
Hg 0.0000 0.0000 0.0000
Te 0.3333 0.6667 0.5605
P 0.6667 0.3333 0.3382

=====

(14)
Entry from the Alexandria database: Hg2TeP after structural relaxation (PBE).

Computed properties:
Formation energy without anion corrections   0.21 eV per atom
SG   R3m, No. 160
Final energy   -8.3 eV per formula unit
Density   9.27 g cm⁻³

a b c (Å): 7.9279 7.9279 7.9279
angles (deg): 28.50 28.50 28.50
Sites, in units of the cell vectors:
Hg 0.0000 0.0000 0.0000
Hg 0.2458 0.2458 0.2458
Te 0.4790 0.4790 0.4790
P 0.7425 0.7425 0.7425

=====

(15)
Entry from the Alexandria database: HgTeP2 after structural relaxation (PBE).

Computed properties:
Formation energy without anion corrections   0.63 eV per atom
SG   Immm, No. 71
Final energy   -11.8 eV per formula unit
Density   5.69 g cm⁻³

a b c (Å): 5.8485 5.8485 5.8485
angles (deg): 142.94 100.23 91.40
Sites, in units of the cell vectors:
Hg 0.0000 0.0000 0.0000
Te 0.5000 0.0000 0.5000
P 0.2533 0.5000 0.7533
P 0.7467 0.5000 0.2467

=====

Excess energy over the best structure of this formula in the dataset in kJ/mol of formula units, matching the order above: 85 13 78 20 0 0 269 134 59 64 146 200 26 30 200
Total magnetic moment in μB/f.u., matching the order above: 0.000 0.000 0.000 0.000 0.000 0.000 2.130 0.000 0.000 0.000 0.000 0.000 0.000 0.000 0.000